Record 1
# PBE Ba2LiNiTe, relaxed
# Uncorrected formation energy, eV per atom: -0.510
# Total magnetization, μB per formula unit: 0.0
# D(E_F), states/eV/cell: 2.1
data_Ba2LiNiTe
_chemical_formula_sum 'Ba2 Li1 Ni1 Te1'
_symmetry_space_group_name_H-M 'P 1'
_symmetry_Int_Tables_number 1
_cell_length_a 5.8762
_cell_length_b 5.8762
_cell_length_c 4.7740
_cell_angle_alpha 90.00
_cell_angle_beta 90.00
_cell_angle_gamma 90.00
loop_
_symmetry_equiv_pos_as_xyz
'x,y,z'
loop_
_atom_site_label
_atom_site_fract_x
_atom_site_fract_y
_atom_site_fract_z
Ba1 0.0000 0.5000 0.0000
Ba2 0.5000 0.0000 0.0000
Ni1 0.0000 0.0000 0.0000
Li1 0.0000 0.0000 0.5000
Te1 0.5000 0.5000 0.5000


Record 2
# PBE KBaAu2, relaxed
# Total magnetization, μB per formula unit: 0.0
# D(E_F), states/eV/cell: 2.3
# E above lowest polymorph, meV per atom: 20.0
# Energy relative to the elements, meV per atom: -511
data_KBaAu2
_chemical_formula_sum 'K1 Ba1 Au2'
_symmetry_space_group_name_H-M 'P 1'
_symmetry_Int_Tables_number 1
_cell_length_a 4.1167
_cell_length_b 4.0335
_cell_length_c 8.9935
_cell_angle_alpha 63.45
_cell_angle_beta 90.00
_cell_angle_gamma 90.00
loop_
_symmetry_equiv_pos_as_xyz
'x,y,z'
loop_
_atom_site_label
_atom_site_fract_x
_atom_site_fract_y
_atom_site_fract_z
K1 0.5000 0.7500 0.7500
Ba1 0.5000 0.2500 0.2500
Au1 0.0000 0.5282 0.4725
Au2 0.0000 0.9718 0.0275


Record 3
# PBE CaSb2O4, relaxed
# Uncorrected formation energy, eV per atom: -1.526
# Total magnetization, μB per formula unit: 0.0
# E above lowest polymorph, meV per atom: 269.7
data_CaSb2O4
_chemical_formula_sum 'Ca2 Sb4 O8'
_symmetry_space_group_name_H-M 'P 1'
_symmetry_Int_Tables_number 1
_cell_length_a 6.9388
_cell_length_b 6.9388
_cell_length_c 6.9388
_cell_angle_alpha 60.00
_cell_angle_beta 60.00
_cell_angle_gamma 60.00
loop_
_symmetry_equiv_pos_as_xyz
'x,y,z'
loop_
_atom_site_label
_atom_site_fract_x
_atom_site_fract_y
_atom_site_fract_z
O1 0.8844 0.8844 0.3467
O2 0.3656 0.3656 0.9033
Sb1 0.1250 0.1250 0.1250
O3 0.3656 0.3656 0.3656
Ca1 0.7500 0.7500 0.7500
O4 0.9033 0.3656 0.3656
O5 0.8844 0.8844 0.8844
O6 0.3467 0.8844 0.8844
Sb2 0.1250 0.6250 0.1250
O7 0.8844 0.3467 0.8844
Sb3 0.1250 0.1250 0.6250
Ca2 0.5000 0.5000 0.5000
O8 0.3656 0.9033 0.3656
Sb4 0.6250 0.1250 0.1250


Record 4
# PBE Tb3Er4, relaxed
# Total magnetization, μB per formula unit: 0.0
# D(E_F), states/eV/cell: 9.6
# Energy relative to the elements, meV per atom: 21
data_Tb3Er4
_chemical_formula_sum 'Tb3 Er4'
_symmetry_space_group_name_H-M 'P 1'
_symmetry_Int_Tables_number 1
_cell_length_a 3.5147
_cell_length_b 3.5147
_cell_length_c 17.6709
_cell_angle_alpha 95.71
_cell_angle_beta 95.71
_cell_angle_gamma 90.00
loop_
_symmetry_equiv_pos_as_xyz
'x,y,z'
loop_
_atom_site_label
_atom_site_fract_x
_atom_site_fract_y
_atom_site_fract_z
Tb1 0.2863 0.2863 0.5725
Er1 0.4284 0.4284 0.8569
Tb2 0.7137 0.7137 0.4275
Er2 0.1422 0.1422 0.2844
Tb3 0.0000 0.0000 0.0000
Er3 0.5716 0.5716 0.1431
Er4 0.8578 0.8578 0.7156


Record 5
# PBE Na2In2Sb, relaxed
# Uncorrected formation energy, eV per atom: 0.018
# Total magnetization, μB per formula unit: 0.0
# D(E_F), states/eV/cell: 1.9
# E above lowest polymorph, meV per atom: 59.3
data_Na2In2Sb
_chemical_formula_sum 'Na2 In2 Sb1'
_symmetry_space_group_name_H-M 'P 1'
_symmetry_Int_Tables_number 1
_cell_length_a 4.3621
_cell_length_b 4.3621
_cell_length_c 8.1108
_cell_angle_alpha 74.40
_cell_angle_beta 74.40
_cell_angle_gamma 90.00
loop_
_symmetry_equiv_pos_as_xyz
'x,y,z'
loop_
_atom_site_label
_atom_site_fract_x
_atom_site_fract_y
_atom_site_fract_z
In1 0.4061 0.4061 0.1878
In2 0.5939 0.5939 0.8122
Na1 0.2500 0.7500 0.5000
Na2 0.7500 0.2500 0.5000
Sb1 0.0000 0.0000 0.0000


Record 6
# PBE CsYMg6, relaxed
# Total magnetization, μB per formula unit: 0.0
# D(E_F), states/eV/cell: 5.5
# E above lowest polymorph, meV per atom: 0.0
# Energy relative to the elements, meV per atom: 204
data_CsYMg6
_chemical_formula_sum 'Cs1 Y1 Mg6'
_symmetry_space_group_name_H-M 'P 1'
_symmetry_Int_Tables_number 1
_cell_length_a 7.2427
_cell_length_b 7.2427
_cell_length_c 4.6847
_cell_angle_alpha 90.00
_cell_angle_beta 90.00
_cell_angle_gamma 89.98
loop_
_symmetry_equiv_pos_as_xyz
'x,y,z'
loop_
_atom_site_label
_atom_site_fract_x
_atom_site_fract_y
_atom_site_fract_z
Mg1 0.1254 0.3749 0.0000
Y1 0.1250 0.8750 0.0000
Mg2 0.9061 0.0939 0.5000
Cs1 0.6253 0.3747 0.0000
Mg3 0.6251 0.8746 0.0000
Mg4 0.3440 0.0948 0.5000
Mg5 0.9052 0.6560 0.5000
Mg6 0.3440 0.6560 0.5000